VASP calculation (GGA-PBE) on a relaxed Pm5Sn2I2 crystal.

**E_form (uncorrected)**: -0.65 eV/atom
**Total DFT energy (no corrections)**: -4.522 eV per atom

Lattice parameters (Å, degrees): 5.898 8.985 6.377 112.61 90.00 109.16
Fractional positions:
1 Pm 0.393 0.786 0.193
2 Pm 0.607 0.214 0.807
3 Pm 0.193 0.387 0.444
4 Pm 0.807 0.613 0.556
5 Pm 0.000 0.000 0.000
6 Sn 0.404 0.808 0.697
7 Sn 0.596 0.192 0.303
8 I 0.175 0.349 0.919
9 I 0.825 0.651 0.081

=====

VASP calculation (GGA-PBE) on a relaxed Cr5Os crystal.

**Formation energy**: 0.1 eV/f.u.
**Total DFT energy (no corrections)**: -9.869 eV per atom
**Relative energy among the computed polymorphs**: 0 meV/atom

Lattice parameters (Å, degrees): 2.871 2.871 8.832 90.00 90.00 90.00
Last column: magnetic moment on the atom in μB.
Fractional positions:
1 Cr 0.000 0.000 0.815  0.71
2 Cr 0.000 0.000 0.185  0.71
3 Cr 0.500 0.500 0.661  -0.68
4 Cr 0.500 0.500 0.339  -0.68
5 Cr 0.000 0.000 0.500  0.70
6 Os 0.500 0.500 0.000  -0.12

=====

VASP calculation (GGA-PBE) on a relaxed HfBeRe crystal.

**Formation energy**: -0.3 eV/f.u.
**Total DFT energy (no corrections)**: -8.811 eV per atom
**Relative energy among the computed polymorphs**: 215 meV/atom

Lattice parameters (Å, degrees): 3.229 3.229 4.908 109.21 109.21 90.00
Fractional positions:
1 Re 0.260 0.260 0.520
2 Hf 0.947 0.947 0.895
3 Be 0.642 0.642 0.285

=====

VASP calculation (GGA-PBE) on a relaxed Sr2CrAu crystal.

**Formation energy**: 1.2 eV/f.u.
**Total DFT energy (no corrections)**: -3.776 eV per atom
**Relative energy among the computed polymorphs**: 361 meV/atom

Lattice parameters (Å, degrees): 8.675 8.675 7.114 52.43 52.43 90.00
Last column: magnetic moment on the atom in μB.
Fractional positions:
1 Sr 0.652 0.125 0.250  0.01
2 Sr 0.098 0.625 0.250  0.01
3 Sr 0.375 0.348 0.750  0.01
4 Sr 0.875 0.902 0.750  0.01
5 Au 0.000 0.000 0.000  0.01
6 Au 0.750 0.250 0.500  0.01
7 Cr 0.500 0.500 0.000  4.10
8 Cr 0.250 0.750 0.500  4.10

=====

VASP calculation (GGA-PBE) on a relaxed UTc4B2 crystal.

**Formation energy**: 0.6 eV/f.u.
**Total DFT energy (no corrections)**: -9.360 eV per atom

Lattice parameters (Å, degrees): 3.563 3.563 9.137 78.76 78.76 60.00
Fractional positions:
1 U 0.000 0.000 0.000
2 Tc 0.399 0.399 0.804
3 Tc 0.197 0.197 0.409
4 Tc 0.803 0.803 0.591
5 Tc 0.601 0.601 0.196
6 B 0.108 0.108 0.677
7 B 0.892 0.892 0.323

=====

VASP calculation (GGA-PBE) on a relaxed IrRhAu2 crystal.

**Formation energy**: 1.7 eV/f.u.
**Total DFT energy (no corrections)**: -5.276 eV per atom
**Relative energy among the computed polymorphs**: 274 meV/atom

Lattice parameters (Å, degrees): 4.820 4.820 2.796 90.00 90.00 90.00
Fractional positions:
1 Ir 0.500 0.500 0.500
2 Rh 0.000 0.000 0.500
3 Au 0.500 0.000 0.000
4 Au 0.000 0.500 0.000

=====

VASP calculation (GGA-PBE) on a relaxed Er4PaBi5 crystal.

**Formation energy**: -6.5 eV/f.u.
**Total DFT energy (no corrections)**: -5.369 eV per atom

Lattice parameters (Å, degrees): 6.309 7.709 7.709 80.36 65.85 65.85
Last column: magnetic moment on the atom in μB.
Fractional positions:
1 Er 0.400 0.401 0.800  0.00
2 Er 0.801 0.800 0.599  0.00
3 Er 0.201 0.200 0.401  0.00
4 Er 0.601 0.599 0.200  0.00
5 Pa 0.001 0.000 0.000  0.83
6 Bi 0.901 0.400 0.799  -0.01
7 Bi 0.302 0.799 0.600  -0.01
8 Bi 0.700 0.201 0.400  -0.01
9 Bi 0.101 0.600 0.201  -0.01
10 Bi 0.501 0.000 0.000  -0.02

=====

VASP calculation (GGA-PBE) on a relaxed RbInHg10 crystal.

**Formation energy**: -0.4 eV/f.u.
**Total DFT energy (no corrections)**: -0.597 eV per atom

Lattice parameters (Å, degrees): 5.624 6.243 10.721 90.00 90.00 90.00
Fractional positions:
1 Rb 0.000 0.500 0.500
2 In 0.000 0.000 0.000
3 Hg 0.000 0.000 0.308
4 Hg 0.000 0.500 0.848
5 Hg 0.000 0.500 0.152
6 Hg 0.000 0.000 0.692
7 Hg 0.500 0.000 0.500
8 Hg 0.500 0.500 0.000
9 Hg 0.500 0.251 0.250
10 Hg 0.500 0.749 0.750
11 Hg 0.500 0.749 0.250
12 Hg 0.500 0.251 0.750

=====

Q: The lowest total DFT energy (no corrections) belongs to which entry?
A: Cr5Os